Entry from Alexandria via LeMat-Bulk: crystalline LaIr2Au at its relaxed geometry (PBE).

Properties
ΔE_f, eV/atom: 0.071
ΔE to the lowest computed polymorph, kJ per mole of atoms: 27.06
Raw total energy, eV/atom: -6.411
Total magnetic moment, Bohr magnetons per cell: 0.000

Geometry as CIF:
```
data_LaIr2Au
_cell_length_a 2.977
_cell_length_b 2.977
_cell_length_c 8.541
_cell_angle_alpha 90.00
_cell_angle_beta 90.00
_cell_angle_gamma 90.00
_symmetry_space_group_name_H-M 'P 4 m m'
_symmetry_Int_Tables_number 99
_symmetry_space_group_name_Hall 'P 4 -2'
loop_
_atom_site_label
_atom_site_fract_x
_atom_site_fract_y
_atom_site_fract_z
La1 0.000 0.000 0.000
Ir1 0.000 0.000 0.525
Ir2 0.500 0.500 0.712
Au1 0.500 0.500 0.288
```